The following is a PBE-GGA calculation of a relaxed La2UO6 crystal, from Alexandria via LeMat-Bulk.

Values from the calculation:
The value obtained for the raw total energy is -9.0826 eV/atom. As for the density of states at the Fermi level: 0.0 states/eV per cell. The calculation puts the uncorrected formation energy at -3.428 eV per atom.

Lattice parameters (Å, degrees): 6.7133 6.7133 6.7133 145.53 130.68 61.56
With the nearest neighbours (Å) after each atom.
Fractional coordinates of all 9 atoms:
La (0.1637, 0.1637, 0.0000)  8 O 2.45-2.52
La (0.8363, 0.8363, 0.0000)  8 O 2.45-2.52
U (0.5000, 0.5000, 0.0000)  8 O 2.16-2.34
O (0.1182, 0.3510, 0.7672)  1 U 2.16
O (0.2783, 0.0000, 0.2783)  2 U 2.34, 2 La 2.45, 1 O 2.48
O (0.4163, 0.6490, 0.7672)  1 U 2.16
O (0.5837, 0.3510, 0.2328)  1 U 2.16
O (0.7217, 0.0000, 0.7217)  2 U 2.34, 2 La 2.45, 1 O 2.48
O (0.8818, 0.6490, 0.2328)  1 U 2.16

***

The following is a PBE-GGA calculation of a relaxed La2U3O11 crystal, from Alexandria via LeMat-Bulk.

Values from the calculation:
The value obtained for the raw total energy is -9.2637 eV/atom. As for the density of states at the Fermi level: 9.1 states/eV per cell. The calculation puts the uncorrected formation energy at -3.122 eV per atom.

Lattice parameters (Å, degrees): 10.1818 10.1818 10.1818 158.18 148.20 38.90
With the nearest neighbours (Å) after each atom.
Fractional coordinates of all 16 atoms:
La (0.1999, 0.1999, 0.0000)  8 O 2.39-2.53
La (0.8001, 0.8001, 0.0000)  8 O 2.39-2.53
U (0.0000, 0.0000, 0.0000)  8 O 2.26-2.28
U (0.4060, 0.4060, 0.0000)  8 O 2.18-2.42
U (0.5940, 0.5940, 0.0000)  8 O 2.18-2.42
O (0.0860, 0.3138, 0.7722)  1 U 2.18
O (0.1408, 0.9042, 0.2366)  3 U 2.26-2.42, 1 O 2.35, 1 La 2.39
O (0.2170, 0.5000, 0.7170)  4 U 2.28-2.40, 3 O 2.42-2.49
O (0.3323, 0.0958, 0.2366)  3 U 2.26-2.42, 1 O 2.35, 1 La 2.39
O (0.4584, 0.6862, 0.7722)  1 U 2.18
O (0.5000, 0.0000, 0.5000)  8 O 2.35-2.49
O (0.5416, 0.3138, 0.2278)  1 U 2.18
O (0.6677, 0.9042, 0.7634)  3 U 2.26-2.42, 1 O 2.35, 1 La 2.39
O (0.7830, 0.5000, 0.2830)  4 U 2.28-2.40, 3 O 2.42-2.49
O (0.8592, 0.0958, 0.7634)  3 U 2.26-2.42, 1 O 2.35, 1 La 2.39
O (0.9140, 0.6862, 0.2278)  1 U 2.18